{
  "formula": "VIn2PO",
  "functional": "PBE with a Hubbard U",
  "state": "relaxed",
  "final_energy_ev_per_cell": -22.65,
  "cell": [[5.268, 0.000, 0.000], [0.000, 3.728, 0.000], [0.000, 0.000, 5.268]],
  "species": ["In", "In", "P", "O", "V"],
  "fractional_positions": [[0.000, 0.000, 0.500], [0.500, 0.000, 0.000], [0.500, 0.500, 0.500], [0.000, 0.000, 0.000], [0.000, 0.500, 0.000]]
}